Crystalline MnCrAs2O6 at its relaxed geometry, computed with GGA+U.

Unit cell a=5.239 b=7.436 c=7.436 alpha=70.69 beta=93.83 gamma=93.83
Last column: magnetic moment on the atom in μB.
Positions (direct):
1 O 0.069 0.017 0.827  -0.14
2 O 0.931 0.983 0.173  -0.14
3 O 0.441 0.535 0.681  -0.01
4 O 0.409 0.845 0.357  0.01
5 O 0.091 0.643 0.155  0.01
6 O 0.431 0.173 0.983  -0.14
7 O 0.909 0.357 0.845  0.01
8 O 0.941 0.681 0.535  -0.01
9 O 0.059 0.319 0.465  -0.01
10 O 0.569 0.827 0.017  -0.14
11 O 0.559 0.465 0.319  -0.01
12 O 0.591 0.155 0.643  0.01
13 As 0.226 0.421 0.220  0.02
14 As 0.274 0.780 0.579  0.02
15 As 0.774 0.579 0.780  0.02
16 As 0.726 0.220 0.421  0.02
17 Cr 0.750 0.084 0.916  2.98
18 Cr 0.250 0.916 0.084  2.98
19 Mn 0.750 0.738 0.262  4.07
20 Mn 0.250 0.262 0.738  4.07

## Properties
SG: C2/c
E_tot (eV per cell): -136.3